Compound: Cd2InMo
Source: Alexandria
Functional: GGA-PBE
Structure: optimized geometry

The structure in extended XYZ format:
```
4
Lattice="3.6145 0.0000 0.0000 0.0000 3.6145 0.0000 0.0000 0.0000 6.2397" Properties=species:S:1:pos:R:3 pbc="T T T"
Cd 0.0000 0.0000 0.0000
Cd 1.8072 1.8072 1.5662
In 0.0000 0.0000 3.3733
Mo 1.8072 1.8072 4.6582
```

Properties
- DOS at the Fermi energy (states/eV per cell) = 4.441
- space group = P4mm
- energy relative to the elements (eV/f.u.) = 1.8
- spin magnetization (μB/cell) = 0.39

Compound: CdIn2Mo
Source: Alexandria
Functional: GGA-PBE
Structure: optimized geometry

The structure in extended XYZ format:
```
4
Lattice="5.4765 -1.4823 0.0000 5.4765 1.4823 0.0000 -0.8048 0.0000 5.0961" Properties=species:S:1:pos:R:3 pbc="T T T"
Cd 0.0000 0.0000 0.0000
In 1.9275 0.0000 4.0091
In 4.6103 0.0000 2.3947
Mo 7.6285 0.0000 1.4536
```

Properties
- DOS at the Fermi energy (states/eV per cell) = 1.724
- space group = Cm
- energy relative to the elements (eV/f.u.) = 1.3
- spin magnetization (μB/cell) = 0.00

Compound: Cd2InMo
Source: Alexandria
Functional: GGA-PBE
Structure: optimized geometry

The structure in extended XYZ format:
```
4
Lattice="3.0379 0.0000 0.0000 0.0000 4.4432 0.0000 0.0000 0.0000 5.9641" Properties=species:S:1:pos:R:3 pbc="T T T"
Cd 0.0000 0.0000 1.3850
Cd 0.0000 0.0000 4.5791
In 1.5189 2.2216 2.9820
Mo 1.5189 2.2216 0.0000
```

Properties
- DOS at the Fermi energy (states/eV per cell) = 3.632
- space group = Pmmm
- energy relative to the elements (eV/f.u.) = 1.7
- spin magnetization (μB/cell) = 0.01

Compound: CdInMo2
Source: Alexandria
Functional: GGA-PBE
Structure: optimized geometry

The structure in extended XYZ format:
```
4
Lattice="3.2796 0.0000 0.0000 0.0000 3.2796 0.0000 0.0000 0.0000 7.0722" Properties=species:S:1:pos:R:3 pbc="T T T"
Cd 0.0000 0.0000 0.0000
In 1.6398 1.6398 2.1051
Mo 0.0000 0.0000 3.9534
Mo 1.6398 1.6398 5.2114
```

Properties
- DOS at the Fermi energy (states/eV per cell) = 1.837
- space group = P4mm
- polymorph energy (0 for the lowest one) (meV per atom) = 0
- energy relative to the elements (eV/f.u.) = 1.0
- spin magnetization (μB/cell) = 0.00

Compound: Cd2InMo
Source: Alexandria
Functional: GGA-PBE
Structure: optimized geometry

The structure in extended XYZ format:
```
4
Lattice="3.0072 0.0000 0.0000 0.0000 4.3249 0.0000 0.0000 0.0000 6.1537" Properties=species:S:1:pos:R:3 pbc="T T T"
Cd 0.0000 0.0000 0.0000
Cd 1.5036 2.1624 1.4981
In 0.0000 0.0000 3.2757
Mo 1.5036 2.1624 4.5994
```

Properties
- DOS at the Fermi energy (states/eV per cell) = 3.630
- space group = Pmm2
- energy relative to the elements (eV/f.u.) = 1.5
- spin magnetization (μB/cell) = 0.12

Compound: CdInMo2
Source: Alexandria
Functional: GGA-PBE
Structure: optimized geometry

The structure in extended XYZ format:
```
4
Lattice="4.8398 -1.4258 0.0000 4.8398 1.4258 0.0000 -0.4732 0.0000 5.2733" Properties=species:S:1:pos:R:3 pbc="T T T"
Cd 0.0000 0.0000 0.0000
In 7.1716 0.0000 1.2652
Mo 2.1198 0.0000 3.8212
Mo 4.5611 0.0000 2.7286
```

Properties
- DOS at the Fermi energy (states/eV per cell) = 2.994
- space group = Cm
- polymorph energy (0 for the lowest one) (meV per atom) = 191
- energy relative to the elements (eV/f.u.) = 1.8
- spin magnetization (μB/cell) = 0.00

Compound: CdIn2Mo
Source: Alexandria
Functional: GGA-PBE
Structure: optimized geometry

The structure in extended XYZ format:
```
4
Lattice="3.0393 -4.3593 0.0000 3.0393 4.3593 0.0000 0.0000 0.0000 3.0480" Properties=species:S:1:pos:R:3 pbc="T T T"
Cd 0.0000 0.0000 0.0000
In 1.5196 2.1796 1.5240
In 1.5196 -2.1796 1.5240
Mo 3.0393 0.0000 0.0000
```

Properties
- DOS at the Fermi energy (states/eV per cell) = 3.181
- space group = Cmmm
- energy relative to the elements (eV/f.u.) = 1.4
- spin magnetization (μB/cell) = 0.00

Compound: Cd2InMo
Source: Alexandria
Functional: GGA-PBE
Structure: optimized geometry

The structure in extended XYZ format:
```
8
Lattice="-3.9171 3.9171 2.8576 3.9171 -3.9171 2.8576 3.9171 3.9171 -2.8576" Properties=species:S:1:pos:R:3 pbc="T T T"
Cd 5.8756 1.9013 -0.7144
Cd 1.9013 1.9585 0.7144
Cd -1.9585 2.0158 2.1432
Cd 2.0158 1.9585 3.5721
In 3.9171 0.0000 1.4288
In 0.0000 0.0000 2.8576
Mo 0.0000 0.0000 0.0000
Mo 0.0000 3.9171 1.4288
```

Properties
- DOS at the Fermi energy (states/eV per cell) = 0.663
- space group = I-42d
- energy relative to the elements (eV/f.u.) = 2.7
- spin magnetization (μB/cell) = 1.98

Compound: Cd2InMo
Source: Alexandria
Functional: GGA-PBE
Structure: optimized geometry

The structure in extended XYZ format:
```
4
Lattice="-1.5732 2.5278 5.0972 1.5732 -2.5278 5.0972 1.5732 2.5278 -5.0972" Properties=species:S:1:pos:R:3 pbc="T T T"
Cd 0.0000 0.0000 0.0000
Cd 0.0000 2.5278 2.4292
In 1.5732 0.0000 2.7150
Mo 0.0000 0.0000 5.1096
```

Properties
- DOS at the Fermi energy (states/eV per cell) = 2.869
- space group = Imm2
- energy relative to the elements (eV/f.u.) = 1.7
- spin magnetization (μB/cell) = 0.00

Compound: CdInMo2
Source: Alexandria
Functional: GGA-PBE
Structure: optimized geometry

The structure in extended XYZ format:
```
4
Lattice="1.5683 0.9054 9.5068 -1.5683 0.9054 9.5068 0.0000 -1.8109 9.5068" Properties=species:S:1:pos:R:3 pbc="T T T"
Cd 0.0000 0.0000 0.0000
In 0.0000 0.0000 21.7817
Mo 0.0000 0.0000 6.9923
Mo 0.0000 0.0000 14.7738
```

Properties
- DOS at the Fermi energy (states/eV per cell) = 1.820
- space group = R3m
- polymorph energy (0 for the lowest one) (meV per atom) = 74
- energy relative to the elements (eV/f.u.) = 1.3
- spin magnetization (μB/cell) = 0.00

Compound: Cd2InMo
Source: Alexandria
Functional: GGA-PBE
Structure: optimized geometry

The structure in extended XYZ format:
```
4
Lattice="4.6314 0.0000 0.0000 0.0000 1.4585 5.9245 0.0000 -1.4585 5.9245" Properties=species:S:1:pos:R:3 pbc="T T T"
Cd 0.0000 0.0000 0.0000
Cd 2.3157 0.0000 4.6401
In 2.3157 0.0000 1.8517
Mo 0.0000 0.0000 8.8239
```

Properties
- DOS at the Fermi energy (states/eV per cell) = 2.356
- space group = Amm2
- energy relative to the elements (eV/f.u.) = 1.5
- spin magnetization (μB/cell) = 0.00

Compound: Cd2InMo
Source: Alexandria
Functional: GGA-PBE
Structure: optimized geometry

The structure in extended XYZ format:
```
4
Lattice="-1.5505 2.4307 5.4536 1.5505 -2.4307 5.4536 1.5505 2.4307 -5.4536" Properties=species:S:1:pos:R:3 pbc="T T T"
Cd 0.0000 0.0000 2.4442
Cd 0.0000 0.0000 8.4630
In 0.0000 2.4307 0.0000
Mo 1.5505 0.0000 0.0000
```

Properties
- DOS at the Fermi energy (states/eV per cell) = 2.510
- space group = Immm
- energy relative to the elements (eV/f.u.) = 1.3
- spin magnetization (μB/cell) = 0.00

- Among the records above, which one has the highest energy relative to the elements?
  number 8